[1]
Density functional theory data (PBE) for an optimized crystal structure of Pr2SiO4.

a b c (Å): 7.7144 5.2654 9.9550
angles (deg): 90.00 90.00 90.00
Closest atoms and distances in Å follow each position.
Space group Pnma (No. 62)
Inequivalent atoms, fractional coordinates:
Pr (0.0662, 0.2500, 0.1799) [4 per cell]  6 O 2.43-2.64
Pr (0.1463, 0.2500, 0.5457) [4 per cell]  6 O 2.52-2.70
Si (0.1734, 0.2500, 0.8711) [4 per cell]  4 O 1.63-1.66
O (0.0298, 0.7500, 0.0748) [4 per cell]  1 Si 1.66
O (0.1983, 0.7500, 0.5035) [4 per cell]  1 Si 1.65
O (0.1998, 0.0002, 0.7763) [8 per cell]  1 Si 1.63

Calculated values
- total DFT energy (no corrections) (eV per atom) = -7.667
- size of the total moment (μB per cell) = 0.1

[2]
Density functional theory data (PBE) for an optimized crystal structure of HfTlIr2.

a b c (Å): 6.5883 6.5883 6.5883
angles (deg): 90.00 90.00 90.00
Closest atoms and distances in Å follow each position.
Space group F-43m (No. 216)
Inequivalent atoms, fractional coordinates:
Hf (0.0000, 0.0000, 0.0000) [4 per cell]  4 Tl 2.85, 4 Ir 2.85
Tl (0.2500, 0.2500, 0.7500) [4 per cell]  4 Hf 2.85, 4 Ir 2.85
Ir (0.0000, 0.0000, 0.5000) [4 per cell]  4 Ir 2.85, 4 Tl 2.85
Ir (0.2500, 0.2500, 0.2500) [4 per cell]  4 Hf 2.85, 4 Ir 2.85

Calculated values
- total DFT energy (no corrections) (eV per atom) = -7.371
- size of the total moment (μB per cell) = 0.1

[3]
Density functional theory data (PBE) for an optimized crystal structure of BaPr2CoS5.

a b c (Å): 7.8897 7.8897 13.5172
angles (deg): 90.00 90.00 90.00
Closest atoms and distances in Å follow each position.
Space group I4/mcm (No. 140)
Inequivalent atoms, fractional coordinates:
Ba (0.0000, 0.0000, 0.2500) [4 per cell]  10 S 3.38-3.39
Pr (0.1625, 0.3375, 0.0000) [8 per cell]  8 S 2.82-3.06
Co (0.0000, 0.5000, 0.2500) [4 per cell]  4 S 2.24
S (0.0000, 0.0000, 0.0000) [4 per cell]  4 Pr 2.96
S (0.1461, 0.3539, 0.3632) [16 per cell]  1 Co 2.24

Calculated values
- total DFT energy (no corrections) (eV per atom) = -6.011
- size of the total moment (μB per cell) = 12.0